First-principles (meta-GGA SCAN) data for a PBEsol-optimized structure of NdGaO3, as listed in Alexandria via LeMat-Bulk.

Results
DOS(E_F) = 0.0 states/eV per cell
raw formation energy = -2.949 eV/atom
total magnetic moment = 0.0 μB per formula unit
uncorrected energy = -18.67 eV per atom
crystal system = orthorhombic

abc: 5.5305 7.7011 5.4092
angles: 90.00 90.00 90.00
Space group Pnma (No. 62)
One atom of each set of equivalent atoms:
1 Nd 0.0502 0.2500 0.0129 (multiplicity 4)
2 Ga 0.0000 0.0000 0.5000 (multiplicity 4)
3 O 0.0201 0.7500 0.4152 (multiplicity 4)
4 O 0.2085 0.5455 0.7908 (multiplicity 8)


First-principles (meta-GGA SCAN) data for a PBEsol-optimized structure of SrNdGaO4, as listed in Alexandria via LeMat-Bulk.

Results
DOS(E_F) = 0.0 states/eV per cell
raw formation energy = -2.979 eV/atom
total magnetic moment = 0.0 μB per formula unit
uncorrected energy = -18.28 eV per atom
crystal system = tetragonal

abc: 3.8103 3.8103 12.3976
angles: 90.00 90.00 90.00
Space group I4mm (No. 107)
One atom of each set of equivalent atoms:
1 Sr 0.0000 0.0000 0.0000 (multiplicity 2)
2 Nd 0.0000 0.0000 0.2838 (multiplicity 2)
3 Ga 0.0000 0.0000 0.6377 (multiplicity 2)
4 O 0.0000 0.0000 0.4728 (multiplicity 2)
5 O 0.0000 0.0000 0.8088 (multiplicity 2)
6 O 0.0000 0.5000 0.1518 (multiplicity 4)